Entry 1:
Below is NbZnB3 after structural relaxation, with properties calculated at the PBE-GGA level.

The energy of formation from the pure elements is 1.572 eV per atom. The energy above the most stable polymorph in this dataset is 0 meV/atom. The density of states at the Fermi level comes out at 2.1 states/eV per cell.

Unit cell a=4.2667 b=4.2667 c=4.2667 alpha=90.00 beta=90.00 gamma=90.00
Space group Pm-3m (No. 221)
Symmetry-distinct sites (fractional):
Nb 0.0000 0.0000 0.0000 x1
Zn 0.5000 0.5000 0.5000 x1
B 0.0000 0.0000 0.5000 x3


Entry 2:
Below is NbZnB3 after structural relaxation, with properties calculated at the PBE-GGA level.

The energy of formation from the pure elements is 1.608 eV per atom. The energy above the most stable polymorph in this dataset is 37 meV/atom. The density of states at the Fermi level comes out at 3.6 states/eV per cell.

Unit cell a=3.8881 b=3.8881 c=3.8881 alpha=90.00 beta=90.00 gamma=90.00
Space group Pm-3m (No. 221)
Symmetry-distinct sites (fractional):
Nb 0.0000 0.0000 0.0000 x1
Zn 0.5000 0.5000 0.5000 x1
B 0.0000 0.5000 0.5000 x3


Entry 3:
Below is NbZnB2 after structural relaxation, with properties calculated at the PBE-GGA level.

The energy of formation from the pure elements is 0.497 eV per atom. The density of states at the Fermi level comes out at 7.8 states/eV per cell.

Unit cell a=5.9184 b=5.9184 c=5.4231 alpha=90.00 beta=90.00 gamma=90.00
Space group I-42d (No. 122)
Symmetry-distinct sites (fractional):
Nb 0.0000 0.0000 0.0000 x4
Zn 0.0000 0.0000 0.5000 x4
B 0.2260 0.7500 0.6250 x8


Entry 4:
Below is NbZn2B after structural relaxation, with properties calculated at the PBE-GGA level.

The energy of formation from the pure elements is 0.280 eV per atom. The density of states at the Fermi level comes out at 3.8 states/eV per cell.

Unit cell a=6.8435 b=6.8435 c=4.7370 alpha=90.00 beta=90.00 gamma=90.00
Space group I-42d (No. 122)
Symmetry-distinct sites (fractional):
Nb 0.0000 0.0000 0.0000 x4
Zn 0.1807 0.2500 0.6250 x8
B 0.0000 0.0000 0.5000 x4


Entry 5:
Below is Nb5ZnB2 after structural relaxation, with properties calculated at the PBE-GGA level.

The energy of formation from the pure elements is -0.363 eV per atom. The density of states at the Fermi level comes out at 21.3 states/eV per cell.

Unit cell a=6.3026 b=6.3026 c=11.8062 alpha=90.00 beta=90.00 gamma=90.00
Space group I4/mcm (No. 140)
Symmetry-distinct sites (fractional):
Nb 0.0000 0.0000 0.0000 x4
Nb 0.1714 0.3286 0.1341 x16
Zn 0.0000 0.0000 0.2500 x4
B 0.1117 0.3883 0.5000 x8


Entry 6:
Below is Nb3Zn3B after structural relaxation, with properties calculated at the PBE-GGA level.

The energy of formation from the pure elements is -0.254 eV per atom. The density of states at the Fermi level comes out at 64.6 states/eV per cell.

Unit cell a=11.9316 b=11.9316 c=11.9316 alpha=90.00 beta=90.00 gamma=90.00
Space group Fd-3m (No. 227, origin choice 2)
Symmetry-distinct sites (fractional):
Nb 0.0586 0.3750 0.3750 x48
Zn 0.0000 0.0000 0.5000 x16
Zn 0.0411 0.0411 0.7089 x32
B 0.0000 0.0000 0.0000 x16


Entry 7:
Below is Nb4ZnB after structural relaxation, with properties calculated at the PBE-GGA level.

The energy of formation from the pure elements is -0.273 eV per atom. The density of states at the Fermi level comes out at 8.0 states/eV per cell.

Unit cell a=6.0515 b=6.0515 c=5.0898 alpha=90.00 beta=90.00 gamma=90.00
Space group P4/mcc (No. 124)
Symmetry-distinct sites (fractional):
Nb 0.1349 0.3166 0.0000 x8
Zn 0.5000 0.5000 0.2500 x2
B 0.0000 0.0000 0.2500 x2


Entry 8:
Below is ZrNb2B after structural relaxation, with properties calculated at the PBE-GGA level.

The energy of formation from the pure elements is -0.266 eV per atom. The density of states at the Fermi level comes out at 17.1 states/eV per cell.

Unit cell a=3.4773 b=9.6939 c=7.7286 alpha=90.00 beta=90.00 gamma=90.00
Space group Cmcm (No. 63)
Symmetry-distinct sites (fractional):
Zr 0.0000 0.0591 0.2500 x4
Nb 0.0000 0.3511 0.0558 x8
B 0.0000 0.2302 0.7500 x4


Entry 9:
Below is ZrNb2B after structural relaxation, with properties calculated at the PBE-GGA level.

The energy of formation from the pure elements is 0.150 eV per atom. The density of states at the Fermi level comes out at 20.0 states/eV per cell.

Unit cell a=7.4875 b=7.4875 c=4.8912 alpha=90.00 beta=90.00 gamma=90.00
Space group I-42d (No. 122)
Symmetry-distinct sites (fractional):
Zr 0.0000 0.0000 0.0000 x4
Nb 0.1685 0.7500 0.6250 x8
B 0.0000 0.0000 0.5000 x4


Entry 10:
Below is ZrNbB after structural relaxation, with properties calculated at the PBE-GGA level.

The energy of formation from the pure elements is -0.330 eV per atom. The energy above the most stable polymorph in this dataset is 93 meV/atom. The density of states at the Fermi level comes out at 5.3 states/eV per cell.

Unit cell a=10.6737 b=3.2702 c=6.1636 alpha=90.00 beta=116.60 gamma=90.00
Space group Cm (No. 8)
Symmetry-distinct sites (fractional):
Zr 0.0000 0.0000 0.0000 x2
Zr 0.2486 0.5000 0.0491 x2
Nb 0.1913 0.5000 0.5046 x2
Nb 0.4376 0.0000 0.5488 x2
B 0.1233 0.0000 0.7252 x2
B 0.3032 0.0000 0.7841 x2


Entry 11:
Below is Zr2NbB after structural relaxation, with properties calculated at the PBE-GGA level.

The energy of formation from the pure elements is 0.271 eV per atom. The density of states at the Fermi level comes out at 6.0 states/eV per cell.

Unit cell a=7.6509 b=7.6509 c=4.9274 alpha=90.00 beta=90.00 gamma=90.00
Space group I-42d (No. 122)
Symmetry-distinct sites (fractional):
Zr 0.1777 0.2500 0.1250 x8
Nb 0.0000 0.0000 0.5000 x4
B 0.0000 0.0000 0.0000 x4


Entry 12:
Below is Zr2NbB2 after structural relaxation, with properties calculated at the PBE-GGA level.

The energy of formation from the pure elements is -0.499 eV per atom. The density of states at the Fermi level comes out at 9.6 states/eV per cell.

Unit cell a=6.4524 b=6.4524 c=3.4720 alpha=90.00 beta=90.00 gamma=90.00
Space group P4/mbm (No. 127)
Symmetry-distinct sites (fractional):
Zr 0.1829 0.3171 0.0000 x4
Nb 0.0000 0.0000 0.5000 x2
B 0.0994 0.5994 0.5000 x4